1.
GaP2Se after structural relaxation, computed with PBE.

a = 5.2667 Å, b = 5.2667 Å, c = 7.5255 Å
α = 69.52°, β = 69.52°, γ = 90.00°
Fractional positions:
P 0.6130 0.1250 0.2500
P 0.1370 0.6250 0.2500
P 0.8750 0.8630 0.7500
P 0.3750 0.3870 0.7500
Se 0.7500 0.2500 0.5000
Se 0.0000 0.0000 0.0000
Ga 0.5000 0.5000 0.0000
Ga 0.2500 0.7500 0.5000

- Raw formation energy: 1.1 eV per formula unit
- Uncorrected energy: -32.510 eV for the cell shown
- Distance to the lowest polymorph of the same formula: 0 meV per atom
- M_tot: 0.0 μB/cell

=====

2.
Dy4TmHg5 after structural relaxation, computed with PBE.

a = 3.7088 Å, b = 3.7088 Å, c = 18.6072 Å
α = 90.00°, β = 90.00°, γ = 90.00°
Fractional positions:
Hg 0.5000 0.5000 0.5000
Hg 0.5000 0.5000 0.7009
Hg 0.5000 0.5000 0.9028
Hg 0.5000 0.5000 0.2991
Hg 0.5000 0.5000 0.0972
Dy 0.0000 0.0000 0.1985
Dy 0.0000 0.0000 0.6005
Dy 0.0000 0.0000 0.8015
Dy 0.0000 0.0000 0.3995
Tm 0.0000 0.0000 0.0000

- Formation enthalpy at 0 K: -0.48 eV per atom
- Uncorrected energy: -29.201 eV for the cell shown
- M_tot: 0.0 μB/cell